Material: CuICl
Method: DFT, PBE
State: optimized geometry

Output
Space-group type ... No. 14
Calculated volume ... 32.62 A^3/atom
Uncorrected formation energy ... -0.30 eV per atom
Energy above the lowest structure with this stoichiometry ... 15 meV per atom
Total moment ... 0.145 μB/atom

a b c (Å): 7.271 6.353 9.281
angles (deg): 114.07 90.00 90.00
Site moments in Bohr magnetons follow the coordinates.
Atoms (fractional coordinates):
1 I 0.250 0.292 0.372  0.04
2 Cu 0.177 0.637 0.079  0.27
3 Cl 0.641 0.248 0.079  0.08
4 Cu 0.823 0.363 0.921  0.27
5 I 0.750 0.208 0.628  0.04
6 I 0.250 0.792 0.372  0.04
7 Cu 0.677 0.863 0.921  0.27
8 Cl 0.859 0.748 0.079  0.08
9 Cu 0.323 0.137 0.079  0.27
10 I 0.750 0.708 0.628  0.04
11 Cl 0.359 0.752 0.921  0.08
12 Cl 0.141 0.252 0.921  0.08

---

Material: Tm5Cu2Sb
Method: DFT, PBE
State: optimized geometry

Output
Space-group type ... No. 140
Calculated volume ... 24.15 A^3/atom
Uncorrected formation energy ... -0.44 eV per atom
Total moment ... 0.000 μB/atom

a b c (Å): 7.781 7.781 8.425
angles (deg): 117.50 117.50 90.00
Atoms (fractional coordinates):
1 Tm 0.000 0.000 0.000
2 Tm 0.013 0.513 0.717
3 Tm 0.704 0.204 0.717
4 Tm 0.500 0.500 0.000
5 Tm 0.487 0.296 0.283
6 Cu 0.869 0.631 0.000
7 Cu 0.369 0.869 0.000
8 Tm 0.796 0.987 0.283
9 Sb 0.250 0.250 0.500
10 Cu 0.131 0.369 0.000
11 Cu 0.631 0.131 0.000
12 Tm 0.296 0.796 0.283
13 Tm 0.987 0.487 0.283
14 Tm 0.513 0.704 0.717
15 Tm 0.204 0.013 0.717
16 Sb 0.750 0.750 0.500

---

Material: K4ZnHg
Method: DFT, PBE
State: optimized geometry

Output
Energy of formation ... 1.498 eV per formula unit
Space-group type ... No. 216
Calculated volume ... 58.81 A^3/atom
Total moment ... 0.000 μB/atom

a b c (Å): 7.932 7.932 7.932
angles (deg): 60.00 60.00 60.00
Atoms (fractional coordinates):
1 K 0.375 0.875 0.375
2 K 0.375 0.375 0.375
3 K 0.375 0.375 0.875
4 K 0.875 0.375 0.375
5 Hg 0.000 0.000 0.000
6 Zn 0.750 0.750 0.750

---

Material: YPa2Tc3
Method: DFT, PBE
State: optimized geometry

Output
Energy of formation ... -1.251 eV per formula unit
Space-group type ... No. 65
Calculated volume ... 20.59 A^3/atom
Energy above the lowest structure with this stoichiometry ... 3 meV per atom
Total moment ... 0.000 μB/atom

a b c (Å): 3.494 5.209 7.271
angles (deg): 110.99 90.00 90.00
Atoms (fractional coordinates):
1 Tc 0.500 0.185 0.370
2 Pa 0.000 0.663 0.326
3 Tc 0.500 0.815 0.630
4 Pa 0.000 0.337 0.674
5 Y 0.000 0.000 0.000
6 Tc 0.500 0.500 0.000

---

Material: Pm3SmTl4Te8
Method: DFT, PBE
State: optimized geometry

Output
Space-group type ... No. 166
Calculated volume ... 36.50 A^3/atom
Uncorrected formation energy ... -1.07 eV per atom
Total moment ... 0.000 μB/atom

a b c (Å): 9.079 9.716 9.080
angles (deg): 117.86 120.00 90.00
Atoms (fractional coordinates):
1 Te 0.761 0.281 0.020
2 Pm 0.500 0.500 0.500
3 Sm 0.000 0.500 0.000
4 Pm 0.000 0.500 0.500
5 Tl 0.000 0.000 0.500
6 Tl 0.500 0.000 0.000
7 Pm 0.500 0.500 0.000
8 Te 0.740 0.719 0.479
9 Te 0.259 0.281 0.020
10 Te 0.260 0.281 0.521
11 Tl 0.500 0.000 0.500
12 Te 0.239 0.719 0.478
13 Tl 0.000 0.000 0.000
14 Te 0.741 0.719 0.980
15 Te 0.761 0.281 0.522
16 Te 0.239 0.719 0.980

---

Material: Ac2NiAs
Method: DFT, PBE
State: optimized geometry

Output
Energy of formation ... -2.375 eV per formula unit
Space-group type ... No. 123
Calculated volume ... 27.21 A^3/atom
Energy above the lowest structure with this stoichiometry ... 113 meV per atom
Total moment ... 0.000 μB/atom

a b c (Å): 3.875 5.300 5.300
angles (deg): 90.00 90.00 90.00
Atoms (fractional coordinates):
1 Ni 0.500 0.000 0.000
2 Ac 0.000 0.500 0.000
3 As 0.500 0.500 0.500
4 Ac 0.000 0.000 0.500

---

Material: Ho3Fe7Co2
Method: DFT, PBE
State: optimized geometry

Output
Energy of formation ... -1.355 eV per formula unit
Space-group type ... No. 166
Calculated volume ... 15.05 A^3/atom
Total moment ... 1.402 μB/atom

a b c (Å): 5.066 5.066 8.639
angles (deg): 72.95 72.95 60.00
Site moments in Bohr magnetons follow the coordinates.
Atoms (fractional coordinates):
1 Fe 0.918 0.419 0.244  2.27
2 Fe 0.581 0.581 0.756  2.27
3 Co 0.332 0.332 0.003  1.54
4 Fe 0.500 0.500 0.500  2.03
5 Fe 0.419 0.918 0.244  2.27
6 Fe 0.581 0.082 0.756  2.27
7 Fe 0.082 0.581 0.756  2.27
8 Co 0.668 0.668 0.997  1.54
9 Ho 0.000 0.000 0.000  -0.43
10 Ho 0.142 0.142 0.574  -0.65
11 Fe 0.419 0.419 0.244  2.27
12 Ho 0.858 0.858 0.426  -0.65

---

Material: TbBePt
Method: DFT, PBE
State: optimized geometry

Output
Energy of formation ... -2.565 eV per formula unit
Space-group type ... No. 194
Calculated volume ... 18.34 A^3/atom
Energy above the lowest structure with this stoichiometry ... 0 meV per atom
Total moment ... 0.000 μB/atom

a b c (Å): 4.062 4.062 7.700
angles (deg): 90.00 90.00 120.00
Atoms (fractional coordinates):
1 Be 0.667 0.833 0.250
2 Be 0.333 0.167 0.750
3 Tb 0.000 0.500 0.000
4 Tb 0.000 0.500 0.500
5 Pt 0.333 0.167 0.250
6 Pt 0.667 0.833 0.750

---

Please write out number 7 again, unchanged.
Material: Ho3Fe7Co2
Method: DFT, PBE
State: optimized geometry

Output
Energy of formation ... -1.355 eV per formula unit
Space-group type ... No. 166
Calculated volume ... 15.05 A^3/atom
Total moment ... 1.402 μB/atom

a b c (Å): 5.066 5.066 8.639
angles (deg): 72.95 72.95 60.00
Site moments in Bohr magnetons follow the coordinates.
Atoms (fractional coordinates):
1 Fe 0.918 0.419 0.244  2.27
2 Fe 0.581 0.581 0.756  2.27
3 Co 0.332 0.332 0.003  1.54
4 Fe 0.500 0.500 0.500  2.03
5 Fe 0.419 0.918 0.244  2.27
6 Fe 0.581 0.082 0.756  2.27
7 Fe 0.082 0.581 0.756  2.27
8 Co 0.668 0.668 0.997  1.54
9 Ho 0.000 0.000 0.000  -0.43
10 Ho 0.142 0.142 0.574  -0.65
11 Fe 0.419 0.419 0.244  2.27
12 Ho 0.858 0.858 0.426  -0.65